Entry 1:
# CuOsPb

A relaxed CuOsPb crystal (GGA-PBE, Alexandria).

* magnetic moment: 0.00 μB per formula unit
* crystal system: orthorhombic
* energy relative to the lowest polymorph listed for this composition: 0 meV/atom
* E_tot: -66.55 eV/cell
* ΔE_f: 799 meV/atom

```
data_CuOsPb
_chemical_formula_sum 'Cu4 Os4 Pb4'
_symmetry_space_group_name_H-M 'F m m 2'
_symmetry_Int_Tables_number 42
_symmetry_space_group_name_Hall 'F 2 -2'
_cell_length_a 4.689
_cell_length_b 4.697
_cell_length_c 9.440
_cell_angle_alpha 90.00
_cell_angle_beta 90.00
_cell_angle_gamma 90.00
loop_
_atom_site_label
_atom_site_type_symbol
_atom_site_fract_x
_atom_site_fract_y
_atom_site_fract_z
Cu1 Cu 0.000 0.000 0.000
Os1 Os 0.000 0.000 0.621
Pb1 Pb 0.000 0.000 0.311
```

Entry 2:
# BeIrBr

A relaxed BeIrBr crystal (GGA-PBE, Alexandria).

* magnetic moment: 0.00 μB per formula unit
* crystal system: orthorhombic
* energy relative to the lowest polymorph listed for this composition: 628 meV/atom
* E_tot: -53.11 eV/cell
* energy relative to the elements, uncorrected: 0.328 eV/atom

```
data_BeIrBr
_chemical_formula_sum 'Be4 Ir4 Br4'
_symmetry_space_group_name_H-M 'P n m a'
_symmetry_Int_Tables_number 62
_cell_length_a 5.602
_cell_length_b 9.120
_cell_length_c 3.783
_cell_angle_alpha 90.00
_cell_angle_beta 90.00
_cell_angle_gamma 90.00
loop_
_symmetry_equiv_pos_as_xyz
'x,y,z'
'-x,-y,-z'
'-x+1/2,-y,z+1/2'
'x+1/2,y,-z+1/2'
'x+1/2,-y+1/2,-z+1/2'
'-x+1/2,y+1/2,z+1/2'
'-x,y+1/2,-z'
'x,-y+1/2,z'
loop_
_atom_site_label
_atom_site_type_symbol
_atom_site_fract_x
_atom_site_fract_y
_atom_site_fract_z
Be1 Be 0.001 0.250 0.240
Ir1 Ir 0.249 0.750 0.250
Br1 Br 0.000 0.000 0.500
```

Entry 3:
# SmLuAgRu

A relaxed SmLuAgRu crystal (GGA-PBE, Alexandria).

* magnetic moment: 0.00 μB per formula unit
* crystal system: cubic
* E_tot: -90.61 eV/cell
* ΔE_f: -321 meV/atom

```
data_SmLuAgRu
_chemical_formula_sum 'Sm4 Lu4 Ag4 Ru4'
_symmetry_space_group_name_H-M 'F -4 3 m'
_symmetry_Int_Tables_number 216
_symmetry_space_group_name_Hall 'F -4 2 3'
_cell_length_a 7.021
_cell_length_b 7.021
_cell_length_c 7.021
_cell_angle_alpha 90.00
_cell_angle_beta 90.00
_cell_angle_gamma 90.00
loop_
_atom_site_label
_atom_site_type_symbol
_atom_site_fract_x
_atom_site_fract_y
_atom_site_fract_z
Sm1 Sm 0.000 0.000 0.000
Lu1 Lu 0.000 0.000 0.500
Ag1 Ag 0.250 0.250 0.250
Ru1 Ru 0.250 0.250 0.750
```